No. 1
A relaxed KCdCl2 crystal, computed with GGA-PBE.

Results
- crystal system = tetragonal
- symmetry = P4/mmm
- energy relative to the elements, uncorrected (eV per atom) = -1.087

Cell lengths 5.2786, 5.2786, 3.6909 Å; angles 90.00, 90.00, 90.00 degrees
With the nearest neighbours (Å) after each atom.
Element x y z (fractional)
K: 0.0000 0.0000 0.0000  8 Cl 3.22
Cd: 0.5000 0.5000 0.0000  8 Cl 3.22
Cl: 0.0000 0.5000 0.5000  4 Cd 3.22, 4 K 3.22
Cl: 0.5000 0.0000 0.5000  4 Cd 3.22, 4 K 3.22



No. 2
A relaxed BaAcAgTe3 crystal, computed with GGA-PBE.

Results
- crystal system = monoclinic
- symmetry = P2_1/m
- energy relative to the elements, uncorrected (eV per atom) = -1.313

Cell lengths 9.8101, 4.6881, 10.2765 Å; angles 90.00, 102.47, 90.00 degrees
With the nearest neighbours (Å) after each atom.
Element x y z (fractional)
Ba: 0.1809 0.2500 0.2373  7 Te 3.56-3.72, 1 Ag 3.86
Ba: 0.8191 0.7500 0.7627  7 Te 3.56-3.72, 1 Ag 3.86
Ac: 0.3269 0.7500 0.8301  6 Te 3.28-3.38
Ac: 0.6731 0.2500 0.1699  6 Te 3.28-3.38
Ag: 0.0808 0.2500 0.5805  4 Te 2.91-2.93, 2 Ag 3.10
Ag: 0.9192 0.7500 0.4195  4 Te 2.91-2.93, 2 Ag 3.10
Te: 0.0981 0.2500 0.8665  1 Ag 2.91
Te: 0.2243 0.7500 0.5043  3 Ag 2.93
Te: 0.4302 0.7500 0.1658  3 Ac 3.34-3.38, 2 Ba 3.58
Te: 0.5698 0.2500 0.8342  3 Ac 3.34-3.38, 2 Ba 3.58
Te: 0.7757 0.2500 0.4957  3 Ag 2.93
Te: 0.9019 0.7500 0.1335  1 Ag 2.91



No. 3
A relaxed BiSeF2 crystal, computed with GGA-PBE.

Results
- crystal system = tetragonal
- symmetry = I-42d
- energy relative to the elements, uncorrected (eV per atom) = -1.199

Cell lengths 8.6663, 8.6663, 8.6663 Å; angles 150.88, 150.88, 41.64 degrees
With the nearest neighbours (Å) after each atom.
Element x y z (fractional)
Bi: 0.0000 0.0000 0.0000  4 F 2.40
Bi: 0.7500 0.2500 0.5000  4 F 2.40
Se: 0.2500 0.7500 0.5000  4 F 2.73
Se: 0.5000 0.5000 0.0000  4 F 2.73
F: 0.0353 0.6250 0.9103  2 Bi 2.40, 2 F 2.59
F: 0.3750 0.2853 0.4103  2 Bi 2.40, 2 F 2.59
F: 0.7147 0.1250 0.0897  2 Bi 2.40, 2 F 2.59
F: 0.8750 0.9647 0.5897  2 Bi 2.40, 2 F 2.59



No. 4
A relaxed SiBrCl2 crystal, computed with GGA-PBE.

Results
- crystal system = cubic
- symmetry = Fm-3m
- energy relative to the elements, uncorrected (eV per atom) = 0.373

Cell lengths 4.9946, 4.9946, 4.9946 Å; angles 60.00, 60.00, 60.00 degrees
With the nearest neighbours (Å) after each atom.
Element x y z (fractional)
Si: 0.0000 0.0000 0.0000  8 Cl 3.06
Br: 0.5000 0.5000 0.5000  8 Cl 3.06
Cl: 0.2500 0.2500 0.2500  4 Br 3.06, 4 Si 3.06
Cl: 0.7500 0.7500 0.7500  4 Br 3.06, 4 Si 3.06



No. 5
A relaxed K2Rb2Cu crystal, computed with GGA-PBE.

Results
- crystal system = tetragonal
- symmetry = P4/mbm
- energy of formation from the pure elements (kJ/mol of atoms) = 26.6

Cell lengths 9.0512, 9.0512, 7.6376 Å; angles 90.00, 90.00, 90.00 degrees
With the nearest neighbours (Å) after each atom.
Element x y z (fractional)
K: 0.1689 0.3311 0.0000  2 Cu 3.36
K: 0.3311 0.8311 0.0000  2 Cu 3.36
K: 0.6689 0.1689 0.0000  2 Cu 3.36
K: 0.8311 0.6689 0.0000  2 Cu 3.36
Rb: 0.1828 0.6828 0.5000  2 K 4.26, 5 Rb 4.68-4.69
Rb: 0.3172 0.1828 0.5000  2 K 4.26, 5 Rb 4.68-4.69
Rb: 0.6828 0.8172 0.5000  2 K 4.26, 5 Rb 4.68-4.69
Rb: 0.8172 0.3172 0.5000  2 K 4.26, 5 Rb 4.68-4.69
Cu: 0.0000 0.0000 0.0000  4 K 3.36
Cu: 0.5000 0.5000 0.0000  4 K 3.36



No. 6
A relaxed Li2Ga2Ru crystal, computed with GGA-PBE.

Results
- crystal system = monoclinic
- symmetry = P2_1/c
- energy of formation from the pure elements (kJ/mol of atoms) = -24.2

Cell lengths 11.3788, 4.7078, 5.6762 Å; angles 90.00, 95.90, 90.00 degrees
With the nearest neighbours (Å) after each atom.
Element x y z (fractional)
Li: 0.0204 0.2481 0.1140  8 Li 2.69-2.97, 3 Ga 2.69-2.91
Li: 0.0204 0.2519 0.6140  8 Li 2.69-2.97, 3 Ga 2.69-2.91
Li: 0.2443 0.2009 0.8900  5 Ga 2.57-2.77, 1 Ru 2.66, 3 Li 2.86-2.88
Li: 0.2443 0.2991 0.3900  5 Ga 2.57-2.77, 1 Ru 2.66, 3 Li 2.86-2.88
Li: 0.7557 0.7009 0.6100  5 Ga 2.57-2.77, 1 Ru 2.66, 3 Li 2.86-2.88
Li: 0.7557 0.7991 0.1100  5 Ga 2.57-2.77, 1 Ru 2.66, 3 Li 2.86-2.88
Li: 0.9796 0.7481 0.3860  8 Li 2.69-2.97, 3 Ga 2.69-2.91
Li: 0.9796 0.7519 0.8860  8 Li 2.69-2.97, 3 Ga 2.69-2.91
Ga: 0.1848 0.7246 0.6892  2 Ru 2.54-2.65, 5 Li 2.57-2.77
Ga: 0.1848 0.7754 0.1892  2 Ru 2.54-2.65, 5 Li 2.57-2.77
Ga: 0.4396 0.1708 0.1795  5 Ru 2.58-2.67, 2 Li 2.63-2.70, 2 Ga 2.80
Ga: 0.4396 0.3292 0.6795  5 Ru 2.58-2.67, 2 Li 2.63-2.70, 2 Ga 2.80
Ga: 0.5604 0.6708 0.3205  5 Ru 2.58-2.67, 2 Li 2.63-2.70, 2 Ga 2.80
Ga: 0.5604 0.8292 0.8205  5 Ru 2.58-2.67, 2 Li 2.63-2.70, 2 Ga 2.80
Ga: 0.8152 0.2246 0.8108  2 Ru 2.54-2.65, 5 Li 2.57-2.77
Ga: 0.8152 0.2754 0.3108  2 Ru 2.54-2.65, 5 Li 2.57-2.77
Ru: 0.3730 0.6627 0.0020  7 Ga 2.54-2.67, 1 Li 2.66
Ru: 0.3730 0.8373 0.5020  7 Ga 2.54-2.67, 1 Li 2.66
Ru: 0.6270 0.1627 0.4980  7 Ga 2.54-2.67, 1 Li 2.66
Ru: 0.6270 0.3373 0.9980  7 Ga 2.54-2.67, 1 Li 2.66



No. 7
A relaxed BiSe2O6 crystal, computed with GGA-PBE.

Results
- crystal system = monoclinic
- symmetry = C2/c
- energy relative to the elements, uncorrected (eV per atom) = -0.792

Cell lengths 7.1674, 7.1674, 7.5821 Å; angles 120.72, 120.72, 65.85 degrees
With the nearest neighbours (Å) after each atom.
Element x y z (fractional)
Bi: 0.1846 0.8154 0.7500  6 O 2.37-2.57
Bi: 0.8154 0.1846 0.2500  6 O 2.37-2.57
Se: 0.3074 0.3099 0.2873  3 O 1.70-1.77
Se: 0.3099 0.3074 0.7873  3 O 1.70-1.77
Se: 0.6901 0.6926 0.2127  3 O 1.70-1.77
Se: 0.6926 0.6901 0.7127  3 O 1.70-1.77
O: 0.0770 0.1999 0.6453  1 Se 1.70
O: 0.1999 0.0770 0.1453  1 Se 1.70
O: 0.2277 0.5886 0.9163  1 Se 1.72
O: 0.2328 0.4291 0.5182  1 Se 1.77
O: 0.4114 0.7723 0.5837  1 Se 1.72
O: 0.4291 0.2328 0.0182  1 Se 1.77
O: 0.5709 0.7672 0.9818  1 Se 1.77
O: 0.5886 0.2277 0.4163  1 Se 1.72
O: 0.7672 0.5709 0.4818  1 Se 1.77
O: 0.7723 0.4114 0.0837  1 Se 1.72
O: 0.8001 0.9230 0.8547  1 Se 1.70
O: 0.9230 0.8001 0.3547  1 Se 1.70



No. 8
A relaxed CrSn2Sb2 crystal, computed with GGA-PBE.

Results
- crystal system = tetragonal
- symmetry = P4/mbm
- energy relative to the elements, uncorrected (eV per atom) = 0.264

Cell lengths 7.0077, 7.0077, 5.4507 Å; angles 90.00, 90.00, 90.00 degrees
With the nearest neighbours (Å) after each atom.
Element x y z (fractional)
Cr: 0.0000 0.0000 0.0000  4 Sb 2.68
Cr: 0.5000 0.5000 0.0000  4 Sb 2.68
Sn: 0.1824 0.3176 0.5000  6 Sb 3.20-3.58
Sn: 0.3176 0.8176 0.5000  6 Sb 3.20-3.58
Sn: 0.6824 0.1824 0.5000  6 Sb 3.20-3.58
Sn: 0.8176 0.6824 0.5000  6 Sb 3.20-3.58
Sb: 0.1477 0.6477 0.0000  2 Cr 2.68, 1 Sb 2.93
Sb: 0.3523 0.1477 0.0000  2 Cr 2.68, 1 Sb 2.93
Sb: 0.6477 0.8523 0.0000  2 Cr 2.68, 1 Sb 2.93
Sb: 0.8523 0.3523 0.0000  2 Cr 2.68, 1 Sb 2.93



Number 1: total moment 0.0 μB/f.u.. Number 2: total moment 0.0 μB/f.u.. Number 3: total moment 1.0 μB/f.u.. Number 4: total moment 1.0 μB/f.u.. Number 5: total moment 0.0 μB/f.u.. Number 6: total moment 0.0 μB/f.u.. Number 7: total moment 0.0 μB/f.u.. Number 8: total moment 3.0 μB/f.u..